# 1
The following is a DFT calculation (PBE) of a geometry-optimized Tb4Dy5 structure.

Geometry as extended XYZ:
```
9
Lattice="-1.804 6.034 6.514 1.804 -6.034 6.514 1.804 6.034 -6.514" Properties=species:S:1:pos:R:3 pbc="T T T"
Tb 1.804 4.300 -4.043
Tb 0.000 1.734 2.471
Tb 1.804 4.300 4.043
Tb 0.000 1.734 10.557
Dy 1.804 0.000 0.000
Dy 1.804 3.538 0.000
Dy 1.804 0.000 4.875
Dy 0.000 6.034 1.639
Dy 0.000 2.496 6.514
```

Calculated values
Distance to the lowest polymorph of the same formula (meV/atom): 18.9
E (eV/f.u.): -41.21
ΔH_f (0 K) (meV/atom): 36

---

# 2
The following is a DFT calculation (PBE) of a geometry-optimized TbDy2 structure.

Geometry as extended XYZ:
```
6
Lattice="3.445 0.000 0.000 0.000 5.753 0.000 0.000 0.000 9.878" Properties=species:S:1:pos:R:3 pbc="T T T"
Tb 0.000 0.000 0.000
Tb 1.722 2.876 4.939
Dy 0.000 2.876 1.865
Dy 0.000 2.876 8.013
Dy 1.722 0.000 3.074
Dy 1.722 0.000 6.804
```

Calculated values
Distance to the lowest polymorph of the same formula (meV/atom): 188.4
E (eV/f.u.): -13.24
ΔH_f (0 K) (meV/atom): 199

---

# 3
The following is a DFT calculation (PBE) of a geometry-optimized Tb5Dy2 structure.

Geometry as extended XYZ:
```
14
Lattice="7.840 -3.135 0.000 7.840 3.135 0.000 -0.928 0.000 9.140" Properties=species:S:1:pos:R:3 pbc="T T T"
Tb 5.571 2.091 0.328
Tb 3.850 1.042 6.203
Tb 7.144 2.090 6.855
Tb 9.646 2.091 4.243
Tb 4.314 -1.042 1.633
Tb 10.439 1.042 7.507
Tb 5.107 -2.091 4.898
Tb 7.608 -2.090 2.285
Tb 10.903 -1.042 2.937
Tb 9.182 -2.091 8.813
Dy 6.357 1.042 3.591
Dy 8.859 1.042 0.979
Dy 5.893 -1.042 8.162
Dy 8.395 -1.042 5.549
```

Calculated values
E (eV/f.u.): -32.28
ΔH_f (0 K) (meV/atom): 11

---

# 4
The following is a DFT calculation (PBE) of a geometry-optimized TbDy5 structure.

Geometry as extended XYZ:
```
12
Lattice="6.127 0.000 0.000 0.000 10.598 0.000 -2.033 0.000 5.780" Properties=species:S:1:pos:R:3 pbc="T T T"
Tb 1.533 2.649 0.003
Tb 2.560 7.948 5.778
Dy 0.515 0.882 2.892
Dy 0.515 4.417 2.892
Dy -0.503 6.181 5.780
Dy 0.513 7.948 2.889
Dy -0.503 9.715 5.780
Dy 4.596 0.883 0.001
Dy 3.580 2.649 2.892
Dy 4.596 4.416 0.001
Dy 3.578 6.181 2.889
Dy 3.578 9.715 2.889
```

Calculated values
E (eV/f.u.): -27.54
ΔH_f (0 K) (meV/atom): 17

---

# 5
The following is a DFT calculation (PBE) of a geometry-optimized Tb3Dy13 structure.

Geometry as extended XYZ:
```
16
Lattice="7.241 0.000 0.000 0.000 5.620 6.257 0.000 -5.620 6.257" Properties=species:S:1:pos:R:3 pbc="T T T"
Tb 0.000 0.000 0.000
Tb 1.812 0.000 9.380
Tb 5.429 0.000 9.380
Dy 0.000 -2.812 8.343
Dy 0.000 0.000 6.253
Dy 0.000 2.812 8.343
Dy 1.811 -2.807 5.214
Dy 1.810 0.000 3.128
Dy 1.811 2.807 5.214
Dy 3.621 0.000 12.513
Dy 3.621 -2.816 8.343
Dy 3.621 0.000 6.253
Dy 3.621 2.816 8.343
Dy 5.430 -2.807 5.214
Dy 5.431 0.000 3.128
Dy 5.430 2.807 5.214
```

Calculated values
Distance to the lowest polymorph of the same formula (meV/atom): 0.0
E (eV/f.u.): -73.57
ΔH_f (0 K) (meV/atom): 9

---

# 6
The following is a DFT calculation (PBE) of a geometry-optimized TbDy8 structure.

Geometry as extended XYZ:
```
9
Lattice="-5.308 5.308 2.497 5.308 -5.308 2.497 5.308 5.308 -2.497" Properties=species:S:1:pos:R:3 pbc="T T T"
Tb 0.000 0.000 0.000
Dy 3.540 0.000 0.000
Dy 7.075 0.000 0.000
Dy 0.000 3.540 0.000
Dy 3.538 3.538 0.000
Dy 1.770 -1.770 2.497
Dy 0.000 7.075 0.000
Dy -1.770 1.770 2.497
Dy 1.770 1.770 2.497
```

Calculated values
E (eV/f.u.): -41.29
ΔH_f (0 K) (meV/atom): 18

---

# 7
The following is a DFT calculation (PBE) of a geometry-optimized Tb2Dy5 structure.

Geometry as extended XYZ:
```
7
Lattice="3.534 0.000 0.000 -1.763 7.723 0.000 -0.010 -3.250 8.040" Properties=species:S:1:pos:R:3 pbc="T T T"
Tb 0.001 2.844 1.150
Tb 1.760 1.628 6.890
Dy -0.008 -1.220 5.740
Dy -0.003 3.660 4.593
Dy 1.767 0.000 0.000
Dy 1.765 0.812 3.446
Dy 1.769 5.693 2.300
```

Calculated values
Distance to the lowest polymorph of the same formula (meV/atom): 8.3
E (eV/f.u.): -32.15
ΔH_f (0 K) (meV/atom): 17

---

# 8
The following is a DFT calculation (PBE) of a geometry-optimized TbDy5 structure.

Geometry as extended XYZ:
```
12
Lattice="11.187 0.000 0.000 0.000 4.998 0.000 -2.238 0.000 6.712" Properties=species:S:1:pos:R:3 pbc="T T T"
Tb 0.000 0.000 0.000
Tb 5.593 2.499 0.000
Dy -1.119 0.000 3.356
Dy 1.119 2.499 2.239
Dy 0.000 2.499 5.592
Dy 3.356 0.000 1.119
Dy 2.237 0.000 4.473
Dy 4.474 2.499 3.356
Dy 6.712 0.000 2.239
Dy 5.593 0.000 5.592
Dy 8.949 2.499 1.119
Dy 7.830 2.499 4.473
```

Calculated values
E (eV/f.u.): -27.54
ΔH_f (0 K) (meV/atom): 17

---

# 9
The following is a DFT calculation (PBE) of a geometry-optimized Tb13Dy2 structure.

Geometry as extended XYZ:
```
15
Lattice="6.609 0.000 0.000 1.284 8.837 0.000 1.285 3.496 8.117" Properties=species:S:1:pos:R:3 pbc="T T T"
Tb 0.000 0.000 0.000
Tb 2.216 8.232 3.590
Tb 1.826 2.475 1.625
Tb 4.001 10.808 5.106
Tb 4.077 8.989 7.788
Tb 3.666 4.942 3.242
Tb 4.537 7.975 1.369
Tb 4.640 4.359 6.748
Tb 5.512 7.391 4.875
Tb 5.100 3.344 0.329
Tb 5.177 1.526 3.010
Tb 7.351 9.859 6.492
Tb 6.962 4.101 4.526
Dy 2.192 6.463 6.303
Dy 6.985 5.870 1.814
```

Calculated values
Distance to the lowest polymorph of the same formula (meV/atom): 0.0
E (eV/f.u.): -68.39
ΔH_f (0 K) (meV/atom): 67

---

# 10
The following is a DFT calculation (PBE) of a geometry-optimized Tb2Dy5 structure.

Geometry as extended XYZ:
```
14
Lattice="7.818 -3.129 0.000 7.818 3.129 0.000 -0.945 0.000 9.120" Properties=species:S:1:pos:R:3 pbc="T T T"
Tb 5.856 2.085 8.143
Tb 8.363 2.085 5.538
Tb 6.328 -2.085 3.583
Tb 8.836 -2.085 0.978
Dy 2.574 1.044 7.492
Dy 5.074 1.041 4.885
Dy 7.582 1.041 2.280
Dy 3.046 -1.044 2.932
Dy 9.145 1.041 8.796
Dy 5.546 -1.041 0.325
Dy 11.645 1.044 6.188
Dy 7.109 -1.041 6.840
Dy 9.618 -1.041 4.235
Dy 12.118 -1.044 1.628
```

Calculated values
Distance to the lowest polymorph of the same formula (meV/atom): 0.0
E (eV/f.u.): -32.21
ΔH_f (0 K) (meV/atom): 8

---

# 11
The following is a DFT calculation (PBE) of a geometry-optimized Tb5Dy structure.

Geometry as extended XYZ:
```
12
Lattice="5.030 0.000 0.000 0.000 10.626 0.000 0.000 0.000 7.105" Properties=species:S:1:pos:R:3 pbc="T T T"
Tb 1.257 0.887 0.888
Tb 1.257 0.885 4.439
Tb 1.257 4.426 0.888
Tb 1.257 4.427 4.439
Tb 1.257 7.969 0.892
Tb 3.772 2.656 6.213
Tb 3.772 6.198 2.666
Tb 3.772 6.200 6.217
Tb 3.772 9.740 2.666
Tb 3.772 9.739 6.217
Dy 1.257 7.969 4.443
Dy 3.772 2.656 2.663
```

Calculated values
E (eV/f.u.): -27.67
ΔH_f (0 K) (meV/atom): 14

---

# 12
The following is a DFT calculation (PBE) of a geometry-optimized Tb13Dy2 structure.

Geometry as extended XYZ:
```
15
Lattice="3.504 2.023 11.497 -3.504 2.023 11.497 0.000 -4.046 11.497" Properties=species:S:1:pos:R:3 pbc="T T T"
Tb 0.000 0.000 0.000
Tb -1.765 -1.019 13.050
Tb -1.751 -1.011 18.704
Tb 0.000 -2.022 15.786
Tb -1.751 1.011 15.786
Tb 0.000 -2.038 21.440
Tb -1.765 1.019 21.440
Tb 1.765 -1.019 13.050
Tb 0.000 2.038 13.050
Tb 1.751 -1.011 18.704
Tb 0.000 2.022 18.704
Tb 1.751 1.011 15.786
Tb 1.765 1.019 21.440
Dy 0.000 0.000 7.118
Dy 0.000 0.000 27.373
```

Calculated values
Distance to the lowest polymorph of the same formula (meV/atom): 92.2
E (eV/f.u.): -67.01
ΔH_f (0 K) (meV/atom): 159

---

# 13
The following is a DFT calculation (PBE) of a geometry-optimized Tb4Dy3 structure.

Geometry as extended XYZ:
```
14
Lattice="3.540 0.000 0.000 0.000 5.015 0.000 0.000 0.000 24.834" Properties=species:S:1:pos:R:3 pbc="T T T"
Tb 0.000 0.000 1.772
Tb 0.000 0.000 5.319
Tb 0.000 0.000 19.515
Tb 0.000 0.000 23.062
Tb 1.770 2.508 7.098
Tb 1.770 2.508 10.645
Tb 1.770 2.508 14.189
Tb 1.770 2.508 17.736
Dy 0.000 0.000 8.870
Dy 0.000 0.000 12.417
Dy 0.000 0.000 15.964
Dy 1.770 2.508 0.000
Dy 1.770 2.508 3.547
Dy 1.770 2.508 21.288
```

Calculated values
E (eV/f.u.): -32.22
ΔH_f (0 K) (meV/atom): 16

---

# 14
The following is a DFT calculation (PBE) of a geometry-optimized Tb4Dy5 structure.

Geometry as extended XYZ:
```
9
Lattice="5.874 -5.315 0.000 5.874 5.315 0.000 -2.122 0.000 4.529" Properties=species:S:1:pos:R:3 pbc="T T T"
Tb 7.478 -3.543 0.755
Tb 2.147 3.543 3.774
Tb 7.478 3.543 0.755
Tb 2.147 -3.543 3.774
Dy -1.061 0.000 2.264
Dy 2.149 0.000 3.774
Dy 4.813 1.771 2.264
Dy 4.813 -1.771 2.264
Dy 7.477 0.000 0.754
```

Calculated values
Distance to the lowest polymorph of the same formula (meV/atom): 0.0
E (eV/f.u.): -41.38
ΔH_f (0 K) (meV/atom): 17

---

# 15
The following is a DFT calculation (PBE) of a geometry-optimized TbDy2 structure.

Geometry as extended XYZ:
```
12
Lattice="12.903 0.000 0.000 0.000 3.616 0.000 -1.905 0.000 8.205" Properties=species:S:1:pos:R:3 pbc="T T T"
Tb 2.238 0.000 1.138
Tb 2.308 1.808 7.067
Tb 8.689 1.808 1.138
Tb 8.760 0.000 7.067
Dy -1.174 1.808 6.603
Dy 0.788 0.000 4.329
Dy 3.759 1.808 3.876
Dy 5.720 0.000 1.602
Dy 5.277 0.000 6.603
Dy 7.239 1.808 4.329
Dy 10.210 0.000 3.876
Dy 12.172 1.808 1.602
```

Calculated values
Distance to the lowest polymorph of the same formula (meV/atom): 0.0
E (eV/f.u.): -13.80
ΔH_f (0 K) (meV/atom): 10

---

# 16
The following is a DFT calculation (PBE) of a geometry-optimized Tb5Dy structure.

Geometry as extended XYZ:
```
12
Lattice="5.018 0.000 0.000 0.000 15.076 0.000 0.000 0.000 5.018" Properties=species:S:1:pos:R:3 pbc="T T T"
Tb 0.000 0.000 0.000
Tb 0.000 2.509 2.509
Tb 0.000 5.025 0.000
Tb 0.000 10.051 0.000
Tb 0.000 12.567 2.509
Tb 2.509 2.513 0.000
Tb 2.509 5.029 2.509
Tb 2.509 7.538 0.000
Tb 2.509 10.048 2.509
Tb 2.509 12.564 0.000
Dy 0.000 7.538 2.509
Dy 2.509 0.000 2.509
```

Calculated values
E (eV/f.u.): -27.66
ΔH_f (0 K) (meV/atom): 16

---

# 17
The following is a DFT calculation (PBE) of a geometry-optimized Tb5Dy structure.

Geometry as extended XYZ:
```
12
Lattice="6.146 0.000 0.000 0.000 10.639 0.000 -2.039 0.000 5.801" Properties=species:S:1:pos:R:3 pbc="T T T"
Tb 0.000 0.000 0.000
Tb -1.020 1.773 2.900
Tb 0.000 3.547 0.000
Tb 0.000 7.092 0.000
Tb -1.020 8.866 2.900
Tb 3.073 1.772 0.000
Tb 2.054 3.546 2.900
Tb 3.073 5.319 0.000
Tb 2.054 7.092 2.900
Tb 3.073 8.866 0.000
Dy -1.020 5.319 2.900
Dy 2.054 0.000 2.900
```

Calculated values
E (eV/f.u.): -27.66
ΔH_f (0 K) (meV/atom): 15

---

# 18
The following is a DFT calculation (PBE) of a geometry-optimized Tb2Dy7 structure.

Geometry as extended XYZ:
```
9
Lattice="6.128 0.000 0.000 -3.064 5.307 0.000 0.000 0.000 8.657" Properties=species:S:1:pos:R:3 pbc="T T T"
Tb 0.000 3.538 0.000
Tb 3.064 1.769 0.000
Dy 0.000 0.000 0.000
Dy -1.021 1.768 5.769
Dy -2.043 3.539 2.888
Dy 2.041 0.000 5.769
Dy 1.021 1.768 2.888
Dy 4.087 0.000 2.888
Dy 2.043 3.539 5.769
```

Calculated values
Distance to the lowest polymorph of the same formula (meV/atom): 0.0
E (eV/f.u.): -41.30
ΔH_f (0 K) (meV/atom): 20

---

# 19
The following is a DFT calculation (PBE) of a geometry-optimized TbDy2 structure.

Geometry as extended XYZ:
```
6
Lattice="3.538 0.000 0.000 0.000 3.538 0.000 0.000 0.000 15.040" Properties=species:S:1:pos:R:3 pbc="T T T"
Tb 0.000 0.000 0.000
Tb 1.769 1.769 7.520
Dy 0.000 0.000 5.010
Dy 0.000 0.000 10.030
Dy 1.769 1.769 2.510
Dy 1.769 1.769 12.530
```

Calculated values
Distance to the lowest polymorph of the same formula (meV/atom): 7.7
E (eV/f.u.): -13.78
ΔH_f (0 K) (meV/atom): 18

---

# 20
The following is a DFT calculation (PBE) of a geometry-optimized Tb4Dy3 structure.

Geometry as extended XYZ:
```
14
Lattice="11.208 0.000 0.000 0.000 5.012 0.000 -1.119 0.000 7.848" Properties=species:S:1:pos:R:3 pbc="T T T"
Tb 1.121 0.000 3.362
Tb 2.242 2.506 1.120
Tb 2.242 0.000 6.729
Tb 3.363 2.506 4.487
Tb 6.725 2.506 3.362
Tb 7.846 0.000 1.120
Tb 7.846 2.506 6.729
Tb 8.967 0.000 4.487
Dy 0.000 0.000 0.000
Dy 0.001 2.506 5.605
Dy 4.483 0.000 2.243
Dy 5.604 2.506 0.000
Dy 5.605 0.000 5.605
Dy 10.087 2.506 2.243
```

Calculated values
E (eV/f.u.): -32.22
ΔH_f (0 K) (meV/atom): 15

---

# 21
The following is a DFT calculation (PBE) of a geometry-optimized Tb7Dy6 structure.

Geometry as extended XYZ:
```
13
Lattice="3.265 1.885 11.555 -3.265 1.885 11.555 0.000 -3.770 11.555" Properties=species:S:1:pos:R:3 pbc="T T T"
Tb 0.000 0.000 0.000
Tb 0.000 -1.850 8.828
Tb -1.603 0.925 8.828
Tb -1.603 -0.925 25.837
Tb 1.603 0.925 8.828
Tb 1.603 -0.925 25.837
Tb 0.000 1.850 25.837
Dy 0.000 0.000 5.762
Dy 0.000 0.000 12.204
Dy 0.000 0.000 15.734
Dy 0.000 0.000 18.931
Dy 0.000 0.000 22.461
Dy 0.000 0.000 28.903
```

Calculated values
E (eV/f.u.): -56.58
ΔH_f (0 K) (meV/atom): 265

---

# 22
The following is a DFT calculation (PBE) of a geometry-optimized TbDy3 structure.

Geometry as extended XYZ:
```
16
Lattice="7.988 0.000 0.000 0.000 7.988 0.000 0.000 0.000 7.988" Properties=species:S:1:pos:R:3 pbc="T T T"
Tb 0.000 0.000 0.000
Tb 0.000 3.994 3.994
Tb 3.994 0.000 3.994
Tb 3.994 3.994 0.000
Dy 0.000 0.000 3.994
Dy 0.000 3.994 0.000
Dy 1.997 1.997 1.997
Dy 1.997 1.997 5.991
Dy 1.997 5.991 1.997
Dy 1.997 5.991 5.991
Dy 3.994 0.000 0.000
Dy 3.994 3.994 3.994
Dy 5.991 1.997 1.997
Dy 5.991 1.997 5.991
Dy 5.991 5.991 1.997
Dy 5.991 5.991 5.991
```

Calculated values
Distance to the lowest polymorph of the same formula (meV/atom): 138.2
E (eV/f.u.): -17.85
ΔH_f (0 K) (meV/atom): 147

---

# 23
The following is a DFT calculation (PBE) of a geometry-optimized TbDy5 structure.

Geometry as extended XYZ:
```
12
Lattice="5.001 0.000 0.000 0.000 15.014 0.000 0.000 0.000 5.000" Properties=species:S:1:pos:R:3 pbc="T T T"
Tb 0.000 0.000 0.000
Tb 2.501 7.507 0.000
Dy 0.000 2.503 2.500
Dy 0.000 5.003 0.000
Dy 0.000 7.507 2.500
Dy 0.000 10.011 0.000
Dy 0.000 12.511 2.500
Dy 2.501 0.000 2.500
Dy 2.501 2.504 0.000
Dy 2.501 5.004 2.500
Dy 2.501 10.010 2.500
Dy 2.501 12.511 0.000
```

Calculated values
E (eV/f.u.): -27.54
ΔH_f (0 K) (meV/atom): 17